1) Pr2SbF: relaxed, PBE.

Structure (POSCAR):
```
Pr2SbF
1.0
4.2232 0.0000 0.0000
2.1116 3.6574 0.0000
2.1116 1.2191 6.7281
F Pr Sb
1 2 1
Direct
0.0000 0.0000 0.0000 F
0.7371 0.7371 0.7887 Pr
0.2629 0.2629 0.2113 Pr
0.5000 0.5000 0.5000 Sb
```

Properties
Its crystal system is trigonal. The magnetization is 0.00 μB per formula unit.

=====

2) Pr2SbF: relaxed, PBE.

Structure (POSCAR):
```
Pr2SbF
1.0
7.8934 0.0000 0.5776
0.0000 7.6692 0.0000
0.7624 0.0000 7.7803
Sb F Pr
4 4 8
Direct
0.7177 0.0732 0.1704 Sb
0.2177 0.4268 0.1704 Sb
0.2823 0.9268 0.8296 Sb
0.7823 0.5732 0.8296 Sb
0.0933 0.3483 0.5909 F
0.5933 0.1517 0.5909 F
0.9067 0.6517 0.4091 F
0.4067 0.8483 0.4091 F
0.5184 0.2522 0.8987 Pr
0.0184 0.2478 0.8987 Pr
0.4816 0.7478 0.1013 Pr
0.9816 0.7522 0.1013 Pr
0.8324 0.3338 0.4478 Pr
0.3324 0.1662 0.4478 Pr
0.1676 0.6662 0.5522 Pr
0.6676 0.8338 0.5522 Pr
```

Properties
Its crystal system is monoclinic. The magnetization is 0.00 μB per formula unit.

=====

Winner for stability: 2)

=====

1) Pr2Se2F: relaxed, PBE.

Structure (POSCAR):
```
Pr2Se2F
1.0
3.3505 0.0000 0.0000
0.0000 3.3505 0.0000
0.0000 0.0000 14.8927
F Pr Se
1 2 2
Direct
0.5000 0.5000 0.0000 F
0.5000 0.5000 0.1575 Pr
0.5000 0.5000 0.8425 Pr
0.5000 0.5000 0.3485 Se
0.5000 0.5000 0.6515 Se
```

Properties
Its crystal system is tetragonal. The magnetization is 0.00 μB per formula unit.

=====

2) Pr2Se2F: relaxed, PBE.

Structure (POSCAR):
```
Pr2Se2F
1.0
-1.0520 -0.0758 3.9220
5.3390 -3.6396 1.3618
5.3325 7.6260 -0.5250
Se F Pr
4 2 4
Direct
0.1998 0.9381 0.3996 Se
0.9679 0.7438 0.9358 Se
0.8002 0.4381 0.6004 Se
0.0321 0.2438 0.0642 Se
0.6230 0.5841 0.2460 F
0.3770 0.0841 0.7540 F
0.1794 0.4396 0.3587 Pr
0.4258 0.4288 0.8517 Pr
0.5742 0.9288 0.1483 Pr
0.8206 0.9396 0.6413 Pr
```

Properties
Its crystal system is orthorhombic. The magnetization is 0.00 μB per formula unit.

=====

Winner for stability: 2)